DFT (GGA-PBE) results for Th2CdFe after structural relaxation.

Formation energy = -0.458 eV/f.u.

Cell lengths 13.9389, 3.7043, 7.8108 Å; angles 90.00, 96.05, 90.00 degrees
Last column: nearest neighbours and their distance in Å.
Space group C2/m (No. 12)
Symmetry-distinct sites (fractional):
Th (0.0487, 0.0000, 0.3044) (multiplicity 4)  4 Fe 2.87-2.96
Th (0.2271, 0.0000, 0.6902) (multiplicity 4)  2 Fe 2.67
Cd (0.1084, 0.5000, 0.9601) (multiplicity 4)  1 Fe 2.96, 1 Cd 3.15
Fe (0.0975, 0.5000, 0.5799) (multiplicity 4)  6 Th 2.67-2.96, 1 Fe 2.87, 1 Cd 2.96